CsMn2B2O6 after structural relaxation. Source: Alexandria via LeMat-Bulk, functional GGA+U.

POSCAR file:
```
CsMn2B2O6
1.0
-0.4612 1.9218 -5.1100
-6.2162 -0.7690 -2.8790
0.3803 5.0928 1.8025
Cs Mn B O
1 2 2 6
direct
0.5000 0.0000 0.5000
0.7817 0.4450 0.8355
0.2183 0.5550 0.1645
0.2064 0.6729 0.7528
0.7936 0.3271 0.2472
0.3685 0.7075 0.9439
0.9402 0.4340 0.1795
0.1976 0.7299 0.5351
0.0598 0.5660 0.8205
0.8024 0.2701 0.4649
0.6315 0.2925 0.0561
```

Space group: P-1
Calculated density in Mg/m³: 3.4
VASP energy in eV per atom: -7.37